Entry 1:
A plane-wave DFT calculation with PBE was carried out for a relaxed structure of MnAsRh2.

```
MnAsRh2
1.0
-4.3794 0.1455 0.3145
-3.5512 -2.2484 -1.2780
-0.7087 -2.8112 3.8573
As Mn Rh
1 1 2
Direct
0.7500 0.7500 0.7500
0.2500 0.2500 0.2500
0.9996 0.9996 0.9985
0.5004 0.5004 0.5015
```

**Magnetic moment**: 4.1 Bohr magnetons per cell


Entry 2:
A plane-wave DFT calculation with PBE was carried out for a relaxed structure of MnAs2Rh.

```
MnAs2Rh
1.0
4.4857 0.0000 0.0000
2.2429 3.8848 0.0000
2.2429 1.2949 3.6626
As Mn Rh
2 1 1
Direct
0.0000 0.0000 0.0000
0.7500 0.7500 0.7500
0.5000 0.5000 0.5000
0.2500 0.2500 0.2500
```

**Energy relative to the lowest polymorph listed for this composition**: 0.414 eV per atom
**Magnetic moment**: 4.1 Bohr magnetons per cell


Entry 3:
A plane-wave DFT calculation with PBE was carried out for a relaxed structure of MnAsRh2.

```
MnAsRh2
1.0
4.9040 -0.0023 0.0000
2.0523 4.4539 0.0000
-3.4781 -2.2258 2.6452
As Mn Rh
1 1 2
Direct
0.5000 0.5000 0.0000
0.7500 0.2500 0.5000
0.0000 0.0000 0.0000
0.2500 0.7500 0.5000
```

**Magnetic moment**: 4.2 Bohr magnetons per cell


Entry 4:
A plane-wave DFT calculation with PBE was carried out for a relaxed structure of MnAsRh2.

```
MnAsRh2
1.0
-0.9822 7.5996 3.2057
-3.3684 7.4055 1.6758
-3.2684 6.3129 4.2966
As Mn Rh
1 1 2
Direct
0.4988 0.4988 0.4988
0.7523 0.7523 0.7523
0.0048 0.0048 0.0048
0.2440 0.2440 0.2440
```

**Magnetic moment**: 2.4 Bohr magnetons per cell


Entry 5:
A plane-wave DFT calculation with PBE was carried out for a relaxed structure of MnAsRh2.

```
MnAsRh2
1.0
8.2401 -0.1079 -0.0635
7.7590 2.7764 -0.0635
7.7590 1.2941 2.4572
As Mn Rh
1 1 2
Direct
0.2500 0.2500 0.2500
0.7500 0.7500 0.7500
0.9971 0.9971 0.9971
0.5029 0.5029 0.5029
```

**Magnetic moment**: 4.2 Bohr magnetons per cell


Entry 6:
A plane-wave DFT calculation with PBE was carried out for a relaxed structure of MnAs4Rh.

```
MnAs4Rh
1.0
0.0000 3.8234 3.8234
3.8234 0.0000 3.8234
3.8234 3.8234 0.0000
Mn As Rh
1 4 1
Direct
0.7500 0.7500 0.7500
0.8741 0.3753 0.3753
0.3753 0.3753 0.8741
0.3753 0.8741 0.3753
0.3753 0.3753 0.3753
0.0000 0.0000 0.0000
```

**Magnetic moment**: 4.2 Bohr magnetons per cell


Entry 7:
A plane-wave DFT calculation with PBE was carried out for a relaxed structure of MnAs2Rh.

```
MnAs2Rh
1.0
0.0000 3.1197 3.1197
3.1197 0.0000 3.1197
3.1197 3.1197 0.0000
As Mn Rh
2 1 1
Direct
0.2500 0.2500 0.2500
0.7500 0.7500 0.7500
0.0000 0.0000 0.0000
0.5000 0.5000 0.5000
```

**Energy relative to the lowest polymorph listed for this composition**: 0.173 eV per atom
**Magnetic moment**: 3.3 Bohr magnetons per cell


Entry 8:
A plane-wave DFT calculation with PBE was carried out for a relaxed structure of Mn3AsRh.

```
Mn3AsRh
1.0
4.2493 0.0000 0.0000
0.0000 4.2493 0.0000
0.0000 0.0000 4.2493
As Mn Rh
1 3 1
Direct
0.0000 0.0000 0.0000
0.0000 0.5000 0.0000
0.0000 0.0000 0.5000
0.5000 0.0000 0.0000
0.5000 0.5000 0.5000
```

**Energy relative to the lowest polymorph listed for this composition**: 0.325 eV per atom
**Magnetic moment**: 0.2 Bohr magnetons per cell


Entry 9:
A plane-wave DFT calculation with PBE was carried out for a relaxed structure of MnAsRh2.

```
MnAsRh2
1.0
3.8425 0.0000 0.0000
0.0000 2.8201 -0.0153
0.0000 1.4351 5.0264
As Mn Rh
1 1 2
Direct
0.0000 0.6968 0.4813
0.5000 0.5564 0.7623
0.0000 0.9506 0.9741
0.5000 0.2962 0.2823
```

**Magnetic moment**: 0.3 Bohr magnetons per cell


Entry 10:
A plane-wave DFT calculation with PBE was carried out for a relaxed structure of MnAsRh2.

```
MnAsRh2
1.0
-3.3391 -0.4391 -3.4436
-2.1424 -3.1811 -2.9140
-3.6541 -1.1909 2.0911
As Mn Rh
1 1 2
Direct
0.4973 0.4973 0.5634
0.2462 0.2462 0.1961
0.9903 0.9903 0.0587
0.7662 0.7662 0.6819
```

**Magnetic moment**: 4.1 Bohr magnetons per cell


Entry 11:
A plane-wave DFT calculation with PBE was carried out for a relaxed structure of MnAsRh2.

```
MnAsRh2
1.0
-2.8696 0.3259 -0.5921
-0.6419 -2.1221 1.9433
-0.4723 4.5146 4.7739
As Mn Rh
1 1 2
Direct
0.0000 0.0000 0.5008
0.5000 0.5000 0.7459
0.0000 0.0000 0.9803
0.5000 0.5000 0.2730
```

**Magnetic moment**: 3.1 Bohr magnetons per cell


Entry 12:
A plane-wave DFT calculation with PBE was carried out for a relaxed structure of MnAs2Rh.

```
MnAs2Rh
1.0
-2.1838 0.9597 -3.7607
2.0547 -3.3727 -2.0581
-2.2600 -1.8842 0.8315
As Mn Rh
2 1 1
Direct
0.0000 0.0000 0.0000
0.5000 0.5000 0.0000
0.5000 0.0000 0.5000
0.0000 0.5000 0.5000
```

**Energy relative to the lowest polymorph listed for this composition**: 0.112 eV per atom
**Magnetic moment**: 3.3 Bohr magnetons per cell


| no. | final energy (eV per atom) |
| --- | --- |
| 1 | -7.32 |
| 2 | -6.28 |
| 3 | -7.27 |
| 4 | -7.09 |
| 5 | -7.23 |
| 6 | -5.24 |
| 7 | -6.52 |
| 8 | -6.70 |
| 9 | -7.20 |
| 10 | -7.34 |
| 11 | -7.18 |
| 12 | -6.58 |